This record from Alexandria via LeMat-Bulk describes a geometry-optimized Sr3Mn5S12 structure. The functional is PBE.

```
data_Sr3Mn5S12
_symmetry_space_group_name_H-M 'I a -3 d'
_symmetry_Int_Tables_number 230
_symmetry_space_group_name_Hall '-I 4bd 2c 3'
_cell_length_a 15.218
_cell_length_b 15.218
_cell_length_c 15.218
_cell_angle_alpha 90.00
_cell_angle_beta 90.00
_cell_angle_gamma 90.00
loop_
_atom_site_label
_atom_site_type_symbol
_atom_site_fract_x
_atom_site_fract_y
_atom_site_fract_z
Sr1 Sr 0.000 0.250 0.125
Mn1 Mn 0.000 0.000 0.000
Mn2 Mn 0.000 0.250 0.375
S1 S 0.035 0.051 0.646
```

Results
- energy relative to the elements, uncorrected (eV per atom) = -0.895
- V (Å³/atom) = 22.026
- density (Mg/m³) = 3.477